A plane-wave DFT calculation with GGA-PBE was carried out for a relaxed structure of PmDyNp2Se4.

Cell: 7.084 4.120 7.192 Å, 90.00 109.59 90.00°
Fractional coordinates of all 8 atoms:
Pm: 0.000 0.000 0.000
Dy: 0.000 0.500 0.500
Np: 0.500 0.000 0.500
Np: 0.500 0.500 0.000
Se: 0.250 0.000 0.746
Se: 0.253 0.500 0.257
Se: 0.747 0.500 0.743
Se: 0.750 0.000 0.254

Computed properties:
E in eV/f.u.: -60.53
Volume in Å³ per atom: 24.72
Energy relative to the elements, uncorrected in meV per atom: -1420